No. 1
Here is a geometry-optimized HoUTc2 structure from Alexandria. Energies are from PBE.

Output
**Total moment**: 0.54 μB/cell
**Theoretical density**: 12.865 g cm⁻³
**Distance to the lowest polymorph of the same formula**: 158 meV/atom

```
data_HoUTc2
_chemical_formula_sum 'Ho1 U1 Tc2'
_space_group_name_H-M_alt 'P 4/m m m'
_space_group_IT_number 123
_space_group_name_Hall '-P 4 2'
_cell_length_a 4.7908
_cell_length_b 4.7908
_cell_length_c 3.3684
_cell_angle_alpha 90.00
_cell_angle_beta 90.00
_cell_angle_gamma 90.00
loop_
_atom_site_label
_atom_site_type_symbol
_atom_site_fract_x
_atom_site_fract_y
_atom_site_fract_z
Ho1 Ho 0.0000 0.0000 0.0000
U1 U 0.5000 0.5000 0.0000
Tc1 Tc 0.0000 0.5000 0.5000
```

***

No. 2
Here is a geometry-optimized HoUTc2 structure from Alexandria. Energies are from PBE.

Output
**Total moment**: 0.00 μB/cell
**Theoretical density**: 12.651 g cm⁻³
**Distance to the lowest polymorph of the same formula**: 0 meV/atom

```
data_HoUTc2
_chemical_formula_sum 'Ho1 U1 Tc2'
_space_group_name_H-M_alt 'P 4/m m m'
_space_group_IT_number 123
_space_group_name_Hall '-P 4 2'
_cell_length_a 3.3621
_cell_length_b 3.3621
_cell_length_c 6.9551
_cell_angle_alpha 90.00
_cell_angle_beta 90.00
_cell_angle_gamma 90.00
loop_
_atom_site_label
_atom_site_type_symbol
_atom_site_fract_x
_atom_site_fract_y
_atom_site_fract_z
Ho1 Ho 0.0000 0.0000 0.0000
U1 U 0.0000 0.0000 0.5000
Tc1 Tc 0.5000 0.5000 0.2914
```

***

No. 3
Here is a geometry-optimized HoUTc2 structure from Alexandria. Energies are from PBE.

Output
**Total moment**: 0.00 μB/cell
**Theoretical density**: 12.257 g cm⁻³
**Distance to the lowest polymorph of the same formula**: 195 meV/atom

```
data_HoUTc2
_chemical_formula_sum 'Ho3 U3 Tc6'
_space_group_name_H-M_alt 'R -3 m'
_space_group_IT_number 166
_space_group_name_Hall '-R 3 2"'
_cell_length_a 3.3673
_cell_length_b 3.3673
_cell_length_c 24.7911
_cell_angle_alpha 90.00
_cell_angle_beta 90.00
_cell_angle_gamma 120.00
loop_
_atom_site_label
_atom_site_type_symbol
_atom_site_fract_x
_atom_site_fract_y
_atom_site_fract_z
Ho1 Ho 0.0000 0.0000 0.0000
U1 U 0.0000 0.0000 0.5000
Tc1 Tc 0.0000 0.0000 0.2368
```

***

No. 4
Here is a geometry-optimized HoV2Tc structure from Alexandria. Energies are from PBE.

Output
**Total moment**: 0.00 μB/cell
**Theoretical density**: 7.838 g cm⁻³
**Total energy**: -8.1254 eV/atom

```
data_HoV2Tc
_chemical_formula_sum 'Ho3 V6 Tc3'
_space_group_name_H-M_alt 'R -3 m'
_space_group_IT_number 166
_space_group_name_Hall '-R 3 2"'
_cell_length_a 4.2029
_cell_length_b 4.2029
_cell_length_c 15.1558
_cell_angle_alpha 90.00
_cell_angle_beta 90.00
_cell_angle_gamma 120.00
loop_
_atom_site_label
_atom_site_type_symbol
_atom_site_fract_x
_atom_site_fract_y
_atom_site_fract_z
Ho1 Ho 0.0000 0.0000 0.0000
V1 V 0.0000 0.0000 0.2011
Tc1 Tc 0.0000 0.0000 0.5000
```

***

No. 5
Here is a geometry-optimized HoVTc structure from Alexandria. Energies are from PBE.

Output
**Total moment**: 2.28 μB/cell
**Theoretical density**: 8.996 g cm⁻³
**Distance to the lowest polymorph of the same formula**: 0 meV/atom

```
data_HoVTc
_chemical_formula_sum 'Ho4 V4 Tc4'
_space_group_name_H-M_alt 'C m c m'
_space_group_IT_number 63
_space_group_name_Hall '-C 2c 2'
_cell_length_a 4.1677
_cell_length_b 11.8599
_cell_length_c 4.6884
_cell_angle_alpha 90.00
_cell_angle_beta 90.00
_cell_angle_gamma 90.00
loop_
_atom_site_label
_atom_site_type_symbol
_atom_site_fract_x
_atom_site_fract_y
_atom_site_fract_z
Ho1 Ho 0.0000 0.0884 0.2500
V1 V 0.0000 0.3604 0.2500
Tc1 Tc 0.0000 0.2445 0.7500
```

***

No. 6
Here is a geometry-optimized HoVTc structure from Alexandria. Energies are from PBE.

Output
**Total moment**: 0.00 μB/cell
**Theoretical density**: 9.570 g cm⁻³
**Distance to the lowest polymorph of the same formula**: 143 meV/atom

```
data_HoVTc
_chemical_formula_sum 'Ho1 V1 Tc1'
_space_group_name_H-M_alt 'P 3 m 1'
_space_group_IT_number 156
_space_group_name_Hall 'P 3 -2"'
_cell_length_a 4.3933
_cell_length_b 4.3933
_cell_length_c 3.2581
_cell_angle_alpha 90.00
_cell_angle_beta 90.00
_cell_angle_gamma 120.00
loop_
_atom_site_label
_atom_site_type_symbol
_atom_site_fract_x
_atom_site_fract_y
_atom_site_fract_z
Ho1 Ho 0.0000 0.0000 0.0000
V1 V 0.3333 0.6667 0.4150
Tc1 Tc 0.6667 0.3333 0.6176
```